1.
The following is a PBE-GGA calculation of a relaxed structure of Hf3HgB, from the Alexandria database.

Cell: 4.586 4.586 4.586 Å, 90.00 90.00 90.00°
Element x y z (fractional)
Hf 0.000 0.000 0.500
Hf 0.000 0.500 0.000
Hf 0.500 0.000 0.000
Hg 0.500 0.500 0.500
B 0.000 0.000 0.000

## Properties
VASP energy = -7.661 eV per atom
ρ = 12.861 g cm⁻³
relative energy among the computed polymorphs = 0.000 eV per atom
ΔH_f (0 K) = -0.29 eV/atom
DOS(E_F) = 2.2 states/eV/f.u.
V = 19.29 A^3/atom
SG = Pm-3m (221)
M_tot = 0.0 μB/f.u.

=====

2.
The following is a PBE-GGA calculation of a relaxed structure of Ti2HgSe, from the Alexandria database.

Cell: 7.435 7.435 7.435 Å, 134.55 134.55 66.22°
Element x y z (fractional)
Ti 0.099 0.625 0.974
Ti 0.375 0.349 0.474
Ti 0.651 0.125 0.026
Ti 0.875 0.901 0.526
Hg 0.250 0.750 0.500
Hg 0.500 0.500 0.000
Se 0.000 0.000 0.000
Se 0.750 0.250 0.500

## Properties
VASP energy = -4.704 eV per atom
ρ = 6.065 g cm⁻³
relative energy among the computed polymorphs = 0.580 eV per atom
formation energy without anion corrections = 0.19 eV/atom
DOS(E_F) = 1.7 states/eV/f.u.
V = 25.69 A^3/atom
SG = I-42d (122)
M_tot = 0.0 μB/f.u.

=====

3.
The following is a PBE-GGA calculation of a relaxed structure of PuPa2Mo, from the Alexandria database.

Cell: 4.972 4.972 4.972 Å, 60.00 60.00 60.00°
Element x y z (fractional)
Pu 0.000 0.000 0.000
Pa 0.250 0.250 0.250
Pa 0.750 0.750 0.750
Mo 0.500 0.500 0.500

## Properties
VASP energy = -10.902 eV per atom
ρ = 15.322 g cm⁻³
relative energy among the computed polymorphs = 0.049 eV per atom
ΔH_f (0 K) = 0.14 eV/atom
DOS(E_F) = 8.7 states/eV/f.u.
V = 21.73 A^3/atom
SG = Fm-3m (225)
M_tot = 6.4 μB/f.u.